# 1
# KBeBr2

A relaxed KBeBr2 crystal (GGA-PBEsol, the Alexandria database).

Values from the calculation:
Its formation energy (no corrections) is -0.562 eV per atom. As for the polymorph energy (0 for the lowest one): 2.34 kcal/mol of atoms. For the theoretical density, the calculation gives 2.55 g/cm³. For the size of the total moment, the calculation gives 0.000 μB per formula unit.

```
KBeBr2
1.0
-3.2327 3.2327 6.4685
3.2327 -3.2327 6.4685
3.2327 3.2327 -6.4685
K Be Br
2 2 4
direct
0.0000 0.0000 0.0000
0.7500 0.2500 0.5000
0.2500 0.7500 0.5000
0.5000 0.5000 0.0000
0.2409 0.6250 0.1159
0.3750 0.4909 0.6159
0.5091 0.1250 0.8841
0.8750 0.7591 0.3841
```



# 2
# KBeBr2

A relaxed KBeBr2 crystal (GGA-PBEsol, the Alexandria database).

Values from the calculation:
Its formation energy (no corrections) is -0.663 eV per atom. As for the polymorph energy (0 for the lowest one): 0.00 kcal/mol of atoms. For the theoretical density, the calculation gives 2.75 g/cm³. For the size of the total moment, the calculation gives 0.001 μB per formula unit.

```
KBeBr2
1.0
6.1362 -2.2864 0.0000
6.1362 2.2864 0.0000
-1.2681 0.0000 4.4734
K Be Br
1 1 2
direct
0.0000 0.0000 0.0000
0.7142 0.7142 0.7293
0.2681 0.2681 0.8162
0.5345 0.5345 0.5221
```



# 3
# KBe2Br

A relaxed KBe2Br crystal (GGA-PBEsol, the Alexandria database).

Values from the calculation:
Its formation energy (no corrections) is 0.597 eV per atom. As for the polymorph energy (0 for the lowest one): 0.00 kcal/mol of atoms. For the theoretical density, the calculation gives 2.30 g/cm³. For the size of the total moment, the calculation gives 0.000 μB per formula unit.

```
KBe2Br
1.0
3.8051 0.0000 0.0000
0.0000 4.2437 0.0000
0.0000 0.0000 6.1296
K Be Br
1 2 1
direct
0.0000 0.0000 0.0000
0.0000 0.5000 0.5000
0.5000 0.0000 0.5000
0.5000 0.5000 0.0000
```